# GaW2F, relaxed, DFT PBE+U
data_GaW2F
_chemical_formula_sum 'Ga4 W8 F4'
_symmetry_space_group_name_H-M 'F m -3 m'
_symmetry_Int_Tables_number 225
_symmetry_space_group_name_Hall '-F 4 2 3'
_cell_length_a 6.1825
_cell_length_b 6.1825
_cell_length_c 6.1825
_cell_angle_alpha 90.00
_cell_angle_beta 90.00
_cell_angle_gamma 90.00
loop_
_atom_site_label
_atom_site_type_symbol
_atom_site_fract_x
_atom_site_fract_y
_atom_site_fract_z
Ga1 Ga 0.0000 0.0000 0.0000
W1 W 0.2500 0.2500 0.2500
F1 F 0.0000 0.0000 0.5000
# - Density: 12.83 g/cm³
# - DFT total energy: -4.120 eV/atom